Entry 1:
Material: Ba4Sr2Y3Sb3O18
Method: DFT, PBE-GGA
State: relaxed

Cell: 5.9814 5.9949 13.3903 Å, 102.62 102.86 90.23°
Last column: nearest neighbours and their distance in Å.
Fractional coordinates of all 30 atoms:
Ba (0.0000, 0.0000, 0.0000)  7 O 2.77-3.07
Ba (0.1634, 0.1654, 0.3336)  7 O 2.70-2.99
Ba (0.4970, 0.5002, 0.9989)  7 O 2.76-3.06
Ba (0.8295, 0.8329, 0.6639)  8 O 2.77-3.08
Sr (0.3241, 0.3484, 0.6693)  6 O 2.65-2.95
Sr (0.6583, 0.6749, 0.3334)  6 O 2.70-2.98
Y (0.0801, 0.5841, 0.1676)  6 O 2.24-2.27
Y (0.4150, 0.9182, 0.8312)  6 O 2.24-2.27
Y (0.7453, 0.2512, 0.4992)  6 O 2.23-2.28
Sb (0.2468, 0.7521, 0.4992)  6 O 2.02-2.03
Sb (0.5802, 0.0841, 0.1678)  6 O 2.01-2.03
Sb (0.9149, 0.4167, 0.8307)  6 O 2.01-2.03
O (0.0323, 0.4794, 0.4849)  1 Sb 2.02, 1 Y 2.26
O (0.1398, 0.6804, 0.8465)  1 Sb 2.02, 1 Y 2.25
O (0.1743, 0.2023, 0.8299)  1 Sb 2.02, 1 Y 2.24
O (0.2054, 0.6999, 0.3420)  1 Sb 2.02, 1 Y 2.24
O (0.3037, 0.7906, 0.6562)  1 Sb 2.02, 1 Y 2.24
O (0.3222, 0.2994, 0.1668)  1 Sb 2.02, 1 Y 2.24
O (0.3567, 0.8192, 0.1520)  1 Sb 2.02, 1 Y 2.24
O (0.4538, 0.0367, 0.5227)  1 Sb 2.03
O (0.5166, 0.5490, 0.4953)  1 Sb 2.03, 1 Y 2.26
O (0.5250, 0.0289, 0.0091)  1 Sb 2.03, 1 Y 2.27
O (0.6351, 0.1239, 0.3247)  1 Sb 2.01, 1 Y 2.24
O (0.6534, 0.6280, 0.8260)  1 Sb 2.02, 1 Y 2.25
O (0.6881, 0.1565, 0.8161)  1 Sb 2.01, 1 Y 2.24
O (0.7994, 0.3560, 0.1877)  1 Sb 2.02, 1 Y 2.26
O (0.8374, 0.8681, 0.1667)  1 Sb 2.02, 1 Y 2.24
O (0.8722, 0.3594, 0.6735)  1 Sb 2.01, 1 Y 2.23
O (0.9721, 0.4736, 0.9894)  1 Sb 2.03
O (0.9717, 0.9482, 0.4924)  1 Sb 2.02

***

Entry 2:
Material: Ba3TbSb2O9
Method: DFT, PBE-GGA
State: relaxed

Cell: 6.0556 6.0556 7.4052 Å, 90.00 90.00 120.00°
Last column: nearest neighbours and their distance in Å.
Fractional coordinates of all 15 atoms:
Ba (0.0000, 0.0000, 0.0000)  12 O 3.01-3.03
Ba (0.3333, 0.6667, 0.6733)  12 O 2.98-3.08
Ba (0.6667, 0.3333, 0.3267)  12 O 2.98-3.08
Tb (0.0000, 0.0000, 0.5000)  6 O 2.25
Sb (0.3333, 0.6667, 0.1678)  6 O 2.02-2.14
Sb (0.6667, 0.3333, 0.8322)  6 O 2.02-2.14
O (0.0000, 0.5000, 0.0000)  2 Sb 2.14
O (0.1746, 0.3492, 0.3234)  1 Sb 2.02, 1 Tb 2.25
O (0.1746, 0.8254, 0.3234)  1 Sb 2.02, 1 Tb 2.25
O (0.3492, 0.1746, 0.6766)  1 Sb 2.02, 1 Tb 2.25
O (0.5000, 0.0000, 0.0000)  2 Sb 2.14
O (0.5000, 0.5000, 0.0000)  2 Sb 2.14
O (0.6508, 0.8254, 0.3234)  1 Sb 2.02, 1 Tb 2.25
O (0.8254, 0.1746, 0.6766)  1 Sb 2.02, 1 Tb 2.25
O (0.8254, 0.6508, 0.6766)  1 Sb 2.02, 1 Tb 2.25

***

Spin magnetization
In order: 0.00, 0.00
Unit: μB/f.u.
DFT total energy
In order: -7.059, -6.637
Unit: eV per atom